Sr2HfThAs4 | GGA-PBE | relaxed

Computed properties:
Its density of states at the Fermi level is 0.49 states/eV per cell. The value obtained for the formation energy from the elements is -1204 meV/atom.

a b c (Å): 7.2658 4.2127 7.5509
angles (deg): 90.00 108.68 90.00
Space group P2/m (No. 10)
One atom of each set of equivalent atoms:
Sr 0.0000 0.0000 0.0000
Sr 0.5000 0.5000 0.0000
Hf 0.0000 0.5000 0.5000
Th 0.5000 0.0000 0.5000
As 0.2228 0.0000 0.7139
As 0.2426 0.5000 0.2783